{
  "formula": "BaIr2Rh",
  "functional": "PBE",
  "state": "optimized geometry",
  "lattice_angstrom": [[4.133, 0.000, 0.000], [0.000, 4.133, 0.000], [0.000, 0.000, 4.514]],
  "species": ["Rh", "Ir", "Ir", "Ba"],
  "frac_coords": [[0.500, 0.500, 0.500], [0.500, 0.000, 0.000], [0.000, 0.500, 0.000], [0.000, 0.000, 0.500]],
  "magnetic_moment_mub_per_atom": 0.000,
  "spacegroup": "P4/mmm",
  "dos_ef_per_ev_cell": 4.14,
  "e_tot_ev_per_atom": -6.008,
  "e_form_mev_per_atom": 741,
  "polymorph_energy_ev_per_atom": 0.7741
}